[1]
{
  "formula": "AcPrNd4Tm2",
  "functional": "PBE",
  "state": "relaxed",
  "final_energy_ev_per_atom": -4.58,
  "sg": "C2/m, No. 12",
  "volume_a3_per_cell": 281.5,
  "lattice_angstrom": [[5.8170, -2.5956, 0.0000], [5.8170, 2.5956, 0.0000], [-4.6972, 0.0000, 9.3216]],
  "species": ["Ac", "Pr", "Nd", "Nd", "Nd", "Nd", "Tm", "Tm"],
  "frac_coords": [[0.0000, 0.0000, 0.0000], [0.0000, 0.0000, 0.5000], [0.2479, 0.2479, 0.8710], [0.2508, 0.2508, 0.3774], [0.7492, 0.7492, 0.6226], [0.7521, 0.7521, 0.1290], [0.4994, 0.4994, 0.2547], [0.5006, 0.5006, 0.7453]]
}

***

[2]
{
  "formula": "AcPrNd6Tm2",
  "functional": "PBE",
  "state": "relaxed",
  "final_energy_ev_per_atom": -4.53,
  "sg": "C2/c, No. 15",
  "volume_a3_per_cell": 713.8,
  "lattice_angstrom": [[4.7437, -7.6958, 0.0000], [4.7437, 7.6958, 0.0000], [-1.0557, 0.0000, 9.7757]],
  "species": ["Ac", "Ac", "Pr", "Pr", "Nd", "Nd", "Nd", "Nd", "Nd", "Nd", "Nd", "Nd", "Nd", "Nd", "Nd", "Nd", "Tm", "Tm", "Tm", "Tm"],
  "frac_coords": [[0.0344, 0.9656, 0.7500], [0.9656, 0.0344, 0.2500], [0.4087, 0.5913, 0.2500], [0.5913, 0.4087, 0.7500], [0.0106, 0.5506, 0.6778], [0.1099, 0.7544, 0.0554], [0.2456, 0.8901, 0.4446], [0.2942, 0.5159, 0.8812], [0.4494, 0.9894, 0.8222], [0.4841, 0.7058, 0.6188], [0.5159, 0.2942, 0.3812], [0.5506, 0.0106, 0.1778], [0.7058, 0.4841, 0.1188], [0.7544, 0.1099, 0.5554], [0.8901, 0.2456, 0.9446], [0.9894, 0.4494, 0.3222], [0.2023, 0.3056, 0.5496], [0.3056, 0.2023, 0.0496], [0.6944, 0.7977, 0.9504], [0.7977, 0.6944, 0.4504]]
}